Below is crystalline Tl2SnBr4 at its relaxed geometry, with properties calculated at the PBE level.

Lattice parameters (Å, degrees): 5.8477 5.8477 16.5196 90.00 90.00 90.00
Last column: nearest neighbours and their distance in Å.
Fractional positions:
Tl 0.0000 0.0000 0.1367  1 Br 3.07
Tl 0.0000 0.0000 0.8633  1 Br 3.07
Tl 0.5000 0.5000 0.3633  1 Br 3.07
Tl 0.5000 0.5000 0.6367  1 Br 3.07
Sn 0.0000 0.0000 0.5000  6 Br 2.92-2.94
Sn 0.5000 0.5000 0.0000  6 Br 2.92-2.94
Br 0.0000 0.0000 0.3223  1 Sn 2.94, 1 Tl 3.07
Br 0.0000 0.0000 0.6777  1 Sn 2.94, 1 Tl 3.07
Br 0.0000 0.5000 0.0000  2 Sn 2.92
Br 0.0000 0.5000 0.5000  2 Sn 2.92
Br 0.5000 0.0000 0.0000  2 Sn 2.92
Br 0.5000 0.0000 0.5000  2 Sn 2.92
Br 0.5000 0.5000 0.1777  1 Sn 2.94, 1 Tl 3.07
Br 0.5000 0.5000 0.8223  1 Sn 2.94, 1 Tl 3.07

Summary:
Raw formation energy ... -0.778 eV per atom
Calculated volume ... 40.4 A^3/atom
Distance to the lowest polymorph of the same formula ... 47 meV per atom
Electronic total energy ... -41.74 eV per cell
Symmetry ... I4/mmm (139)